First-principles (PBE) data for a relaxed BaTaAs2 crystal, as listed in the Alexandria database.

DOS at the Fermi energy: 0.6187 states/eV per atom
energy relative to the elements: -620 meV/atom
theoretical density: 7.79 g/cm3

Structure (CIF):
```
data_BaTaAs2
_cell_length_a 3.9390
_cell_length_b 3.9390
_cell_length_c 22.2921
_cell_angle_alpha 90.00
_cell_angle_beta 90.00
_cell_angle_gamma 120.00
_space_group_name_H-M_alt 'R -3 m'
_space_group_IT_number 166
_space_group_name_Hall '-R 3 2"'
loop_
_atom_site_label
_atom_site_fract_x
_atom_site_fract_y
_atom_site_fract_z
Ba1 0.0000 0.0000 0.0000
Ta1 0.0000 0.0000 0.5000
As1 0.0000 0.0000 0.2311
```

First-principles (PBE) data for a relaxed PuTiBiAu crystal, as listed in the Alexandria database.

DOS at the Fermi energy: 2.6499 states/eV per atom
energy relative to the elements: -199 meV/atom
theoretical density: 12.31 g/cm3

Structure (CIF):
```
data_PuTiBiAu
_cell_length_a 7.221
_cell_length_b 7.221
_cell_length_c 7.221
_cell_angle_alpha 90.00
_cell_angle_beta 90.00
_cell_angle_gamma 90.00
_space_group_name_H-M_alt 'F -4 3 m'
_space_group_IT_number 216
_space_group_name_Hall 'F -4 2 3'
loop_
_atom_site_label
_atom_site_fract_x
_atom_site_fract_y
_atom_site_fract_z
Pu1 0.000 0.000 0.000
Ti1 0.000 0.000 0.500
Bi1 0.250 0.250 0.750
Au1 0.250 0.250 0.250
```

First-principles (PBE) data for a relaxed Na2AgHPd crystal, as listed in the Alexandria database.

DOS at the Fermi energy: 0.2366 states/eV per atom
theoretical density: 5.26 g/cm3
E_tot: -13.827 eV per cell

Structure (CIF):
```
data_Na2AgHPd
_cell_length_a 4.551
_cell_length_b 4.551
_cell_length_c 3.983
_cell_angle_alpha 90.00
_cell_angle_beta 90.00
_cell_angle_gamma 90.00
_space_group_name_H-M_alt 'P 4/m m m'
_space_group_IT_number 123
_space_group_name_Hall '-P 4 2'
loop_
_atom_site_label
_atom_site_fract_x
_atom_site_fract_y
_atom_site_fract_z
Na1 0.000 0.500 0.000
Ag1 0.000 0.000 0.500
H1 0.000 0.000 0.000
Pd1 0.500 0.500 0.500
```

First-principles (PBE) data for a relaxed Al2AsCl crystal, as listed in the Alexandria database.

DOS at the Fermi energy: 0.5178 states/eV per atom
theoretical density: 3.49 g/cm3
formation energy without anion corrections: 13 meV/atom

Structure (CIF):
```
data_Al2AsCl
_cell_length_a 3.606
_cell_length_b 5.398
_cell_length_c 8.044
_cell_angle_alpha 90.00
_cell_angle_beta 90.00
_cell_angle_gamma 90.00
_space_group_name_H-M_alt 'C m m m'
_space_group_IT_number 65
_space_group_name_Hall '-C 2 2'
loop_
_atom_site_label
_atom_site_fract_x
_atom_site_fract_y
_atom_site_fract_z
Al1 0.000 0.000 0.237
As1 0.000 0.500 0.000
Cl1 0.000 0.500 0.500
```

First-principles (PBE) data for a relaxed TlCrGa2Ag crystal, as listed in the Alexandria database.

DOS at the Fermi energy: 0.7627 states/eV per atom
energy relative to the elements: 542 meV/atom
theoretical density: 6.99 g/cm3

Structure (CIF):
```
data_TlCrGa2Ag
_cell_length_a 4.791
_cell_length_b 4.791
_cell_length_c 5.215
_cell_angle_alpha 90.00
_cell_angle_beta 90.00
_cell_angle_gamma 90.00
_space_group_name_H-M_alt 'P 4/m m m'
_space_group_IT_number 123
_space_group_name_Hall '-P 4 2'
loop_
_atom_site_label
_atom_site_fract_x
_atom_site_fract_y
_atom_site_fract_z
Tl1 0.000 0.000 0.000
Cr1 0.000 0.000 0.500
Ga1 0.000 0.500 0.500
Ag1 0.500 0.500 0.000
```

First-principles (PBE) data for a relaxed NdSm3Ga4 crystal, as listed in the Alexandria database.

DOS at the Fermi energy: 0.7531 states/eV per atom
energy relative to the elements: -438 meV/atom
theoretical density: 6.76 g/cm3

Structure (CIF):
```
data_NdSm3Ga4
_cell_length_a 3.655
_cell_length_b 6.911
_cell_length_c 17.005
_cell_angle_alpha 90.00
_cell_angle_beta 90.00
_cell_angle_gamma 90.00
_space_group_name_H-M_alt 'I m m m'
_space_group_IT_number 71
_space_group_name_Hall '-I 2 2'
loop_
_atom_site_label
_atom_site_fract_x
_atom_site_fract_y
_atom_site_fract_z
Nd1 0.000 0.000 0.000
Sm1 0.000 0.000 0.500
Sm2 0.000 0.500 0.298
Ga1 0.000 0.311 0.131
```